# 1
The following is a DFT calculation (PBE) of an optimized crystal structure of LiHfCd.

a = 3.2466 Å, b = 3.2583 Å, c = 14.8458 Å
α = 90.00°, β = 131.13°, γ = 90.00°
Atoms (fractional coordinates):
Hf 0.5220 0.7500 0.5902
Hf 0.4780 0.2500 0.4098
Cd 0.3979 0.7500 0.2167
Cd 0.6021 0.2500 0.7833
Li 0.5275 0.7500 0.9253
Li 0.4725 0.2500 0.0747

## Properties
**Energy**: -4.39 eV per atom
**Symmetry**: P2_1/m


# 2
The following is a DFT calculation (PBE) of an optimized crystal structure of Li2HfCd9.

a = 4.3975 Å, b = 4.3975 Å, c = 12.9071 Å
α = 90.00°, β = 90.00°, γ = 90.00°
Atoms (fractional coordinates):
Li 0.0000 0.0000 0.3305
Li 0.0000 0.0000 0.6695
Hf 0.0000 0.0000 0.0000
Cd 0.5000 0.5000 0.0000
Cd 0.5000 0.5000 0.3380
Cd 0.5000 0.5000 0.6620
Cd 0.5000 0.0000 0.1705
Cd 0.5000 0.0000 0.5000
Cd 0.5000 0.0000 0.8295
Cd 0.0000 0.5000 0.1705
Cd 0.0000 0.5000 0.5000
Cd 0.0000 0.5000 0.8295

## Properties
**Energy**: -1.93 eV per atom
**Symmetry**: P4/mmm


# 3
The following is a DFT calculation (PBE) of an optimized crystal structure of LiHf2Cd2.

a = 8.6939 Å, b = 8.6939 Å, c = 3.0637 Å
α = 90.00°, β = 90.00°, γ = 90.00°
Atoms (fractional coordinates):
Li 0.0000 0.0000 0.0000
Li 0.5000 0.5000 0.0000
Hf 0.1224 0.6224 0.5000
Hf 0.6224 0.8776 0.5000
Hf 0.8776 0.3776 0.5000
Hf 0.3776 0.1224 0.5000
Cd 0.3257 0.8257 0.0000
Cd 0.8257 0.6743 0.0000
Cd 0.6743 0.1743 0.0000
Cd 0.1743 0.3257 0.0000

## Properties
**Energy above the most stable polymorph in this dataset**: 0.377 eV/atom
**Symmetry**: P4/mbm


# 4
The following is a DFT calculation (PBE) of an optimized crystal structure of LiHf2Cd.

a = 3.1582 Å, b = 3.1582 Å, c = 10.3146 Å
α = 81.19°, β = 81.19°, γ = 60.00°
Atoms (fractional coordinates):
Li 0.0000 0.0000 0.9999
Hf 0.8346 0.8346 0.4963
Hf 0.4224 0.4224 0.7329
Cd 0.2540 0.2540 0.2380

## Properties
**Energy**: -5.65 eV per atom
**Symmetry**: R3m


# 5
The following is a DFT calculation (PBE) of an optimized crystal structure of Li3HfCd12.

a = 4.3511 Å, b = 4.3511 Å, c = 17.6130 Å
α = 90.00°, β = 90.00°, γ = 90.00°
Atoms (fractional coordinates):
Li 0.0000 0.0000 0.2499
Li 0.0000 0.0000 0.5000
Li 0.0000 0.0000 0.7501
Hf 0.0000 0.0000 0.0000
Cd 0.5000 0.5000 0.0000
Cd 0.5000 0.5000 0.2527
Cd 0.5000 0.5000 0.5000
Cd 0.5000 0.5000 0.7473
Cd 0.5000 0.0000 0.1272
Cd 0.5000 0.0000 0.3755
Cd 0.5000 0.0000 0.6245
Cd 0.5000 0.0000 0.8728
Cd 0.0000 0.5000 0.1272
Cd 0.0000 0.5000 0.3755
Cd 0.0000 0.5000 0.6245
Cd 0.0000 0.5000 0.8728

## Properties
**Energy**: -1.77 eV per atom
**Symmetry**: P4/mmm


# 6
The following is a DFT calculation (PBE) of an optimized crystal structure of Li2HfCd2.

a = 7.9601 Å, b = 7.9601 Å, c = 2.9106 Å
α = 90.00°, β = 90.00°, γ = 90.00°
Atoms (fractional coordinates):
Li 0.3821 0.8821 0.0000
Li 0.8821 0.6179 0.0000
Li 0.6179 0.1179 0.0000
Li 0.1179 0.3821 0.0000
Hf 0.0000 0.0000 0.0000
Hf 0.5000 0.5000 0.0000
Cd 0.1810 0.6810 0.5000
Cd 0.6810 0.8190 0.5000
Cd 0.8190 0.3190 0.5000
Cd 0.3190 0.1810 0.5000

## Properties
**Energy above the most stable polymorph in this dataset**: 0.000 eV/atom
**Symmetry**: P4/mbm


# 7
The following is a DFT calculation (PBE) of an optimized crystal structure of LiHf2Cd2.

a = 3.1524 Å, b = 3.1524 Å, c = 10.4138 Å
α = 98.71°, β = 98.71°, γ = 90.00°
Atoms (fractional coordinates):
Li 0.0000 0.0000 0.0000
Hf 0.8016 0.8016 0.6032
Hf 0.1984 0.1984 0.3968
Cd 0.5856 0.5856 0.1712
Cd 0.4144 0.4144 0.8288

## Properties
**Energy above the most stable polymorph in this dataset**: 0.000 eV/atom
**Symmetry**: I4/mmm


# 8
The following is a DFT calculation (PBE) of an optimized crystal structure of Li2HfCd8.

a = 4.7191 Å, b = 7.5920 Å, c = 7.8811 Å
α = 118.79°, β = 107.42°, γ = 90.00°
Atoms (fractional coordinates):
Li 0.2135 0.7135 0.4270
Li 0.7865 0.2865 0.5730
Hf 0.5000 0.0000 0.0000
Cd 0.6431 0.8404 0.2862
Cd 0.3569 0.5542 0.7138
Cd 0.1575 0.1575 0.3151
Cd 0.0000 0.3006 0.0000
Cd 0.8425 0.8425 0.6849
Cd 0.6431 0.4458 0.2862
Cd 0.3569 0.1596 0.7138
Cd 0.0000 0.6994 0.0000

## Properties
**Energy**: -2.00 eV per atom
**Symmetry**: Immm


# 9
The following is a DFT calculation (PBE) of an optimized crystal structure of LiHf2CdN.

a = 4.4124 Å, b = 4.4124 Å, c = 4.2070 Å
α = 90.00°, β = 90.00°, γ = 90.00°
Atoms (fractional coordinates):
N 0.0000 0.0000 0.0000
Hf 0.0000 0.5000 0.0000
Hf 0.5000 0.0000 0.0000
Li 0.0000 0.0000 0.5000
Cd 0.5000 0.5000 0.5000

## Properties
**Symmetry**: P4/mmm
**Formation energy without anion corrections**: -0.63 eV/atom


# 10
The following is a DFT calculation (PBE) of an optimized crystal structure of LiHf2CdO.

a = 4.4040 Å, b = 4.4040 Å, c = 4.1765 Å
α = 90.00°, β = 90.00°, γ = 90.00°
Atoms (fractional coordinates):
Li 0.0000 0.0000 0.5000
Hf 0.0000 0.5000 0.0000
Hf 0.5000 0.0000 0.0000
O 0.0000 0.0000 0.0000
Cd 0.5000 0.5000 0.5000

## Properties
**Symmetry**: P4/mmm
**Formation energy without anion corrections**: -1.03 eV/atom


# 11
The following is a DFT calculation (PBE) of an optimized crystal structure of Li2HfCdO4.

a = 5.0072 Å, b = 5.4977 Å, c = 5.4977 Å
α = 54.17°, β = 62.91°, γ = 62.91°
Atoms (fractional coordinates):
Li 0.2500 0.2501 0.2501
Li 0.7500 0.7499 0.7499
Hf 0.5000 0.5000 0.5000
Cd 0.0000 0.0001 0.9999
O 0.4045 0.1383 0.5955
O 0.1384 0.8616 0.4044
O 0.8616 0.5956 0.1384
O 0.5955 0.4045 0.8617

## Properties
**Symmetry**: I-42m
**Formation energy without anion corrections**: -2.26 eV/atom


# 12
The following is a DFT calculation (PBE) of an optimized crystal structure of LiHfCdPd.

a = 4.6140 Å, b = 4.6140 Å, c = 4.6140 Å
α = 60.00°, β = 60.00°, γ = 60.00°
Each line ends with the local moment (μB).
Atoms (fractional coordinates):
Li 0.5000 0.5000 0.5000  0.01
Hf 0.2500 0.2500 0.2500  0.10
Pd 0.0000 0.0000 0.0000  0.02
Cd 0.7500 0.7500 0.7500  0.02

## Properties
**Energy**: -4.79 eV per atom
**Symmetry**: F-43m


# 13
The following is a DFT calculation (PBE) of an optimized crystal structure of LiHfCdPt.

a = 4.6093 Å, b = 4.6093 Å, c = 4.6093 Å
α = 60.00°, β = 60.00°, γ = 60.00°
Atoms (fractional coordinates):
Li 0.2500 0.2500 0.2500
Hf 0.5000 0.5000 0.5000
Pt 0.7500 0.7500 0.7500
Cd 0.0000 0.0000 0.0000

## Properties
**Energy**: -5.23 eV per atom
**Symmetry**: F-43m


# 14
The following is a DFT calculation (PBE) of an optimized crystal structure of Li2HfCdRh.

a = 4.3710 Å, b = 5.1132 Å, c = 4.3710 Å
α = 90.00°, β = 90.00°, γ = 90.00°
Atoms (fractional coordinates):
Rh 0.0000 0.0000 0.0000
Li 0.0000 0.0000 0.5000
Li 0.5000 0.0000 0.0000
Hf 0.5000 0.5000 0.5000
Cd 0.0000 0.5000 0.0000

## Properties
**Energy**: -3.87 eV per atom
**Symmetry**: P4/mmm


# 15
The following is a DFT calculation (PBE) of an optimized crystal structure of Li2HfCdS4.

a = 3.7286 Å, b = 6.5106 Å, c = 6.6050 Å
α = 69.72°, β = 90.00°, γ = 90.00°
Atoms (fractional coordinates):
Li 0.0000 0.0000 0.0000
Li 0.5000 0.0000 0.5000
Hf 0.0000 0.5000 0.5000
Cd 0.5000 0.5000 0.0000
S 0.0000 0.7398 0.7356
S 0.0000 0.2602 0.2644
S 0.5000 0.7481 0.2717
S 0.5000 0.2519 0.7283

## Properties
**Symmetry**: P2/m
**Formation energy without anion corrections**: -1.23 eV/atom


# 16
The following is a DFT calculation (PBE) of an optimized crystal structure of LiHfScCd.

a = 3.1174 Å, b = 3.1174 Å, c = 9.5290 Å
α = 99.41°, β = 99.41°, γ = 90.00°
Atoms (fractional coordinates):
Li 0.1702 0.1702 0.3403
Hf 0.3307 0.3307 0.6614
Sc 0.9448 0.9448 0.8897
Cd 0.5664 0.5664 0.1328

## Properties
**Energy**: -4.73 eV per atom
**Symmetry**: I4mm


# 17
The following is a DFT calculation (PBE) of an optimized crystal structure of LiHf2CdSe.

a = 4.8237 Å, b = 4.4547 Å, c = 4.8237 Å
α = 90.00°, β = 90.00°, γ = 90.00°
Atoms (fractional coordinates):
Li 0.0000 0.0000 0.0000
Hf 0.0000 0.0000 0.5000
Hf 0.5000 0.0000 0.0000
Se 0.5000 0.5000 0.5000
Cd 0.0000 0.5000 0.0000

## Properties
**Symmetry**: P4/mmm
**Formation energy without anion corrections**: 0.54 eV/atom


# 18
The following is a DFT calculation (PBE) of an optimized crystal structure of Li2HfTiCd.

a = 4.7906 Å, b = 5.3395 Å, c = 4.7906 Å
α = 90.00°, β = 90.00°, γ = 90.00°
Each line ends with the local moment (μB).
Atoms (fractional coordinates):
Ti 0.5000 0.5000 0.5000  -0.24
Hf 0.0000 0.0000 0.0000  1.15
Li 0.0000 0.0000 0.5000  0.10
Li 0.5000 0.0000 0.0000  0.17
Cd 0.0000 0.5000 0.0000  0.05

## Properties
**Energy**: -3.02 eV per atom
**Symmetry**: P4/mmm


# 19
The following is a DFT calculation (PBE) of an optimized crystal structure of LiHfV2Cd.

a = 5.0694 Å, b = 5.2478 Å, c = 5.0694 Å
α = 90.00°, β = 90.00°, γ = 90.00°
Each line ends with the local moment (μB).
Atoms (fractional coordinates):
V 0.0000 0.0000 0.5000  2.65
V 0.5000 0.0000 0.0000  2.66
Hf 0.0000 0.5000 0.0000  -0.30
Li 0.5000 0.5000 0.5000  0.01
Cd 0.0000 0.0000 0.0000  0.04

## Properties
**Energy**: -4.66 eV per atom
**Symmetry**: P4/mmm


# 20
The following is a DFT calculation (PBE) of an optimized crystal structure of LiHfZnCd.

a = 4.6950 Å, b = 4.6950 Å, c = 4.6950 Å
α = 60.00°, β = 60.00°, γ = 60.00°
Atoms (fractional coordinates):
Zn 0.2500 0.2500 0.2500
Li 0.0000 0.0000 0.0000
Hf 0.5000 0.5000 0.5000
Cd 0.7500 0.7500 0.7500

## Properties
**Energy**: -3.54 eV per atom
**Symmetry**: F-43m


# 21
The following is a DFT calculation (PBE) of an optimized crystal structure of LiHfZrCd.

a = 3.0332 Å, b = 3.0332 Å, c = 10.1378 Å
α = 98.60°, β = 98.60°, γ = 90.00°
Atoms (fractional coordinates):
Li 0.1750 0.1750 0.3499
Hf 0.3306 0.3306 0.6613
Zr 0.9401 0.9401 0.8802
Cd 0.5664 0.5664 0.1328

## Properties
**Energy**: -5.28 eV per atom
**Symmetry**: I4mm


# 22
The following is a DFT calculation (PBE) of an optimized crystal structure of LuHfCd4.

a = 5.7449 Å, b = 5.7449 Å, c = 5.7449 Å
α = 60.00°, β = 60.00°, γ = 60.00°
Each line ends with the local moment (μB).
Atoms (fractional coordinates):
Lu 0.2500 0.2500 0.2500  0.36
Hf 0.0000 0.0000 0.0000  0.61
Cd 0.6253 0.6253 0.1241  0.02
Cd 0.6253 0.1241 0.6253  0.02
Cd 0.6253 0.6253 0.6253  0.02
Cd 0.1241 0.6253 0.6253  0.02

## Properties
**Energy**: -3.02 eV per atom
**Symmetry**: F-43m


# 23
The following is a DFT calculation (PBE) of an optimized crystal structure of Lu2HfCd.

a = 3.2241 Å, b = 3.2241 Å, c = 11.7364 Å
α = 82.11°, β = 82.11°, γ = 60.00°
Atoms (fractional coordinates):
Lu 0.0904 0.0904 0.7287
Lu 0.9096 0.9096 0.2713
Hf 0.0000 0.0000 0.0000
Cd 0.5000 0.5000 0.5000

## Properties
**Energy above the most stable polymorph in this dataset**: 0.267 eV/atom
**Symmetry**: R-3m


# 24
The following is a DFT calculation (PBE) of an optimized crystal structure of LuHfCd2.

a = 5.0566 Å, b = 5.0566 Å, c = 5.0566 Å
α = 60.00°, β = 60.00°, γ = 60.00°
Each line ends with the local moment (μB).
Atoms (fractional coordinates):
Lu 0.0000 0.0000 0.0000  -0.17
Hf 0.5000 0.5000 0.5000  -0.30
Cd 0.2500 0.2500 0.2500  -0.01
Cd 0.7500 0.7500 0.7500  -0.01

## Properties
**Energy above the most stable polymorph in this dataset**: 0.026 eV/atom
**Symmetry**: Fm-3m


# 25
The following is a DFT calculation (PBE) of an optimized crystal structure of Lu2HfCd.

a = 4.5605 Å, b = 4.6525 Å, c = 4.6525 Å
α = 90.00°, β = 90.00°, γ = 90.00°
Atoms (fractional coordinates):
Lu 0.0000 0.0000 0.5000
Lu 0.0000 0.5000 0.0000
Hf 0.5000 0.5000 0.5000
Cd 0.5000 0.0000 0.0000

## Properties
**Energy above the most stable polymorph in this dataset**: 0.000 eV/atom
**Symmetry**: P4/mmm


# 26
The following is a DFT calculation (PBE) of an optimized crystal structure of LuHfCd2.

a = 3.5315 Å, b = 3.5315 Å, c = 7.3243 Å
α = 90.00°, β = 90.00°, γ = 90.00°
Each line ends with the local moment (μB).
Atoms (fractional coordinates):
Lu 0.5000 0.5000 0.5000  0.03
Hf 0.5000 0.5000 0.0000  0.06
Cd 0.0000 0.0000 0.7608  0.00
Cd 0.0000 0.0000 0.2392  0.00

## Properties
**Energy above the most stable polymorph in this dataset**: 0.000 eV/atom
**Symmetry**: P4/mmm


# 27
The following is a DFT calculation (PBE) of an optimized crystal structure of LuHfCd2.

a = 3.3044 Å, b = 3.3044 Å, c = 10.2752 Å
α = 80.75°, β = 80.75°, γ = 60.00°
Atoms (fractional coordinates):
Lu 0.5000 0.5000 0.5000
Hf 0.0000 0.0000 0.0000
Cd 0.7480 0.7480 0.7559
Cd 0.2520 0.2520 0.2441

## Properties
**Energy above the most stable polymorph in this dataset**: 0.087 eV/atom
**Symmetry**: R-3m